# KLaWS4, optimized geometry, DFT PBE-GGA
# - total magnetic moment (μB/atom) = 0.27
# - E_tot (eV/atom) = -6.227
# - crystal system = monoclinic
data_KLaWS4
_symmetry_space_group_name_H-M 'P 1 21 1'
_symmetry_Int_Tables_number 4
_symmetry_space_group_name_Hall 'P 2yb'
_cell_length_a 6.8937
_cell_length_b 6.6719
_cell_length_c 8.7407
_cell_angle_alpha 90.00
_cell_angle_beta 107.77
_cell_angle_gamma 90.00
loop_
_atom_site_label
_atom_site_type_symbol
_atom_site_fract_x
_atom_site_fract_y
_atom_site_fract_z
K1 K 0.2361 0.0000 0.4401
La1 La 0.2689 0.9780 0.9510
W1 W 0.2602 0.5000 0.1745
S1 S 0.0623 0.5846 0.9191
S2 S 0.0820 0.5203 0.3516
S3 S 0.4880 0.2410 0.7779
S4 S 0.4910 0.2418 0.2172